Material: CoOs2Br
Method: DFT, SCAN
State: single point on PBEsol structure

Computed properties:
Energy (eV/cell): -348.98

The structure in CIF format:
```
data_CoOs2Br
_space_group_name_H-M_alt 'C m m m'
_space_group_IT_number 65
_space_group_name_Hall '-C 2 2'
_cell_length_a 5.8689
_cell_length_b 6.6357
_cell_length_c 2.8341
_cell_angle_alpha 90.00
_cell_angle_beta 90.00
_cell_angle_gamma 90.00
loop_
_atom_site_label
_atom_site_fract_x
_atom_site_fract_y
_atom_site_fract_z
Co1 0.0000 0.0000 0.0000
Os1 0.2500 0.2500 0.5000
Br1 0.0000 0.5000 0.0000
```